A plane-wave DFT calculation with GGA-PBE was carried out for a relaxed structure of TmScCdTc.

Polymorph energy (0 for the lowest one) in meV per atom: 0
SG: P4mm, No. 99
E_form in eV/atom: -0.267

Lattice parameters (Å, degrees): 3.398 3.398 7.313 90.00 90.00 90.00
Fractional positions:
Tm  0.000  0.000  0.000
Sc  0.000  0.000  0.576
Cd  0.500  0.500  0.305
Tc  0.500  0.500  0.771